Nd2TiCoO6: optimized geometry, GGA+U.

Calculated values
- electronic total energy (eV for the cell shown) = -162.1
- total magnetization (Bohr magnetons per cell) = 6.071

abc: 5.479 5.726 9.542
angles: 90.00 124.78 90.00
Space group P2_1/c (No. 14)
Symmetry-distinct sites (fractional):
1 Nd 0.234 0.061 0.249 x4
2 Ti 0.500 0.000 0.000 x2
3 Co 0.000 0.000 0.500 x2
4 O 0.162 0.194 0.952 x4
5 O 0.256 0.713 0.947 x4
6 O 0.354 0.030 0.758 x4